(1)
Computed, not measured: a relaxed structure of MnTe2Br at the PBE level of DFT.

a b c (Å): 5.232 5.232 5.232
angles (deg): 119.89 119.89 90.19
Element x y z (fractional)
Br 0.500 0.500 0.000
Mn 0.750 0.250 0.500
Te 0.000 0.000 0.000
Te 0.250 0.750 0.500

Values from the calculation:
Total moment   3.89 μB per cell
Formation energy without anion corrections   0.37 eV per atom
Final energy   -15.65 eV/cell


(2)
Computed, not measured: a relaxed structure of MnVTeBr2 at the PBE level of DFT.

a b c (Å): 4.713 5.590 4.713
angles (deg): 90.00 90.00 90.00
Element x y z (fractional)
Mn 0.000 0.000 0.000
Te 0.000 0.500 0.000
Br 0.000 0.000 0.500
Br 0.500 0.000 0.000
V 0.500 0.500 0.500

Values from the calculation:
Total moment   0.18 μB per cell
Formation energy without anion corrections   0.83 eV per atom
Final energy   -20.62 eV/cell


(3)
Computed, not measured: a relaxed structure of ZrMnTeBr2 at the PBE level of DFT.

a b c (Å): 5.965 5.965 4.888
angles (deg): 90.00 90.00 90.00
Element x y z (fractional)
Mn 0.000 0.000 0.500
Te 0.000 0.000 0.000
Br 0.000 0.500 0.000
Br 0.500 0.000 0.000
Zr 0.500 0.500 0.500

Values from the calculation:
Total moment   1.06 μB per cell
Formation energy without anion corrections   0.89 eV per atom
Final energy   -19.76 eV/cell